PuAl11Pt: optimized geometry, PBE.

Cell: 5.224 7.143 6.845 Å, 82.65 67.57 70.41°
Each line ends with the local moment (μB).
Positions (direct):
Al 0.500 0.000 0.500  0.01
Al 0.286 0.218 0.214  0.01
Al 0.000 0.000 0.500  0.01
Al 0.003 0.354 0.647  0.01
Al 0.501 0.218 0.786  0.01
Al 0.714 0.782 0.786  0.01
Al 0.499 0.782 0.214  0.01
Al 0.997 0.646 0.353  0.01
Al 0.650 0.354 0.353  0.01
Al 0.000 0.500 0.000  0.01
Al 0.350 0.646 0.647  0.01
Pu 0.000 0.000 0.000  -5.30
Pt 0.500 0.500 0.000  0.02

Values from the calculation:
Total energy, eV per atom: -5.00
Formation energy, kJ per mole of atoms: -25.3
Space-group type: No. 12